The following is a DFT calculation (PBE-GGA) of crystalline C3Se at its relaxed geometry.

Theoretical density, g/cm³: 3.25
Electronic total energy, eV/atom: -3.86
Formation energy without anion corrections, eV per formula unit: 15.72
Polymorph energy (0 for the lowest one), meV/atom: 2607

Lattice parameters (Å, degrees): 3.888 3.888 3.888 90.00 90.00 90.00
Space group Pm-3m (No. 221)
Unique sites:
C1 0.000 0.000 0.500 [3 per cell]
Se1 0.000 0.000 0.000 [1 per cell]